1.
# In2FeSb, relaxed, DFT PBE
# size of the total moment: 2.976 μB/f.u.
# energy relative to the elements, uncorrected: 469 meV/atom
# V: 93 Å³/f.u.
# mass density: 7.263 g/cm3
# energy: -4.047 eV per atom
data_In2FeSb
_space_group_name_H-M_alt 'F -4 3 m'
_space_group_IT_number 216
_space_group_name_Hall 'F -4 2 3'
_cell_length_a 7.195
_cell_length_b 7.195
_cell_length_c 7.195
_cell_angle_alpha 90.00
_cell_angle_beta 90.00
_cell_angle_gamma 90.00
loop_
_atom_site_label
_atom_site_type_symbol
_atom_site_fract_x
_atom_site_fract_y
_atom_site_fract_z
In1 In 0.000 0.000 0.000
In2 In 0.250 0.250 0.250
Fe1 Fe 0.000 0.000 0.500
Sb1 Sb 0.250 0.250 0.750

2.
# TmSnC, relaxed, DFT PBE
# size of the total moment: 0.000 μB/f.u.
# V: 58 Å³/f.u.
# mass density: 8.617 g/cm3
# energy: -5.816 eV per atom
# ΔE_f: 0.084 eV/atom
data_TmSnC
_space_group_name_H-M_alt 'P 3 m 1'
_space_group_IT_number 156
_cell_length_a 3.6147
_cell_length_b 3.6147
_cell_length_c 5.1031
_cell_angle_alpha 90.00
_cell_angle_beta 90.00
_cell_angle_gamma 120.00
loop_
_space_group_symop_operation_xyz
'x,y,z'
'-y,x-y,z'
'-x+y,-x,z'
'-y,-x,z'
'-x+y,y,z'
'x,x-y,z'
loop_
_atom_site_label
_atom_site_type_symbol
_atom_site_fract_x
_atom_site_fract_y
_atom_site_fract_z
Tm1 Tm 0.0000 0.0000 0.0000
Sn1 Sn 0.6667 0.3333 0.4789
C1 C 0.3333 0.6667 0.1985

3.
# PrSiGe, relaxed, DFT PBE
# size of the total moment: 0.000 μB/f.u.
# energy relative to the elements, uncorrected: -605 meV/atom
# V: 67 Å³/f.u.
# mass density: 5.956 g/cm3
# distance to the lowest polymorph of the same formula: 0 meV per atom
# energy: -5.545 eV per atom
data_PrSiGe
_space_group_name_H-M_alt 'I m m a'
_space_group_IT_number 74
_space_group_name_Hall '-I 2b 2'
_cell_length_a 4.183
_cell_length_b 4.202
_cell_length_c 15.330
_cell_angle_alpha 90.00
_cell_angle_beta 90.00
_cell_angle_gamma 90.00
loop_
_atom_site_label
_atom_site_type_symbol
_atom_site_fract_x
_atom_site_fract_y
_atom_site_fract_z
Pr1 Pr 0.000 0.250 0.130
Si1 Si 0.000 0.250 0.712
Ge1 Ge 0.000 0.250 0.549

4.
# Mg5TlGa, relaxed, DFT PBE
# size of the total moment: 0.000 μB/f.u.
# V: 163 Å³/f.u.
# mass density: 4.028 g/cm3
# distance to the lowest polymorph of the same formula: 0 meV per atom
# energy: -1.950 eV per atom
# ΔE_f: -0.041 eV/atom
data_Mg5TlGa
_space_group_name_H-M_alt 'P 4/m m m'
_space_group_IT_number 123
_space_group_name_Hall '-P 4 2'
_cell_length_a 4.598
_cell_length_b 4.598
_cell_length_c 7.714
_cell_angle_alpha 90.00
_cell_angle_beta 90.00
_cell_angle_gamma 90.00
loop_
_atom_site_label
_atom_site_type_symbol
_atom_site_fract_x
_atom_site_fract_y
_atom_site_fract_z
Mg1 Mg 0.000 0.000 0.000
Mg2 Mg 0.000 0.500 0.295
Tl1 Tl 0.500 0.500 0.000
Ga1 Ga 0.500 0.500 0.500

> What is the size of the total moment in the third record?

0.000 μB/f.u.